No. 1
DFT (PBE-GGA) results for a geometry-optimized ZrSiIr2 structure.

Cell: 8.959 8.959 8.959 Å, 18.64 18.64 18.64°
Sites, in units of the cell vectors:
Ir 0.998 0.998 0.998
Ir 0.242 0.242 0.242
Si 0.509 0.509 0.509
Zr 0.751 0.751 0.751

## Properties
The calculation puts the formation energy (no corrections) at -65 kJ/mol of formula units. For the density, the calculation gives 13.0 Mg/m³.

---

No. 2
DFT (PBE-GGA) results for a geometry-optimized Zr2Si2Ir structure.

Cell: 3.810 5.296 5.296 Å, 60.55 68.92 68.92°
Sites, in units of the cell vectors:
Zr 0.793 0.707 0.707
Zr 0.207 0.293 0.293
Si 0.500 0.275 0.725
Si 0.500 0.725 0.275
Ir 0.000 0.000 0.000

## Properties
The calculation puts the formation energy (no corrections) at -488 kJ/mol of formula units. For the density, the calculation gives 8.5 Mg/m³.